No. 1
## Np2UMnN5 (GGA-PBE)

Data for crystalline Np2UMnN5 at its relaxed geometry.

POSCAR file:
```
Np2UMnN5
1.0
6.312 0.000 0.000
0.000 6.312 0.000
0.000 0.000 5.486
Np U Mn N
4 2 2 10
Direct
0.164 0.336 0.000
0.336 0.836 0.000
0.664 0.164 0.000
0.836 0.664 0.000
0.000 0.000 0.500
0.500 0.500 0.500
0.000 0.500 0.500
0.500 0.000 0.500
0.000 0.000 0.000
0.159 0.659 0.268
0.159 0.659 0.732
0.341 0.159 0.268
0.341 0.159 0.732
0.500 0.500 0.000
0.659 0.841 0.268
0.659 0.841 0.732
0.841 0.341 0.268
0.841 0.341 0.732
```

Computed properties:
ΔE_f (raw) ... -0.92 eV/atom
Crystal system ... tetragonal
Space-group type ... No. 127
Density of states at the Fermi level ... 18.347 states/eV/cell



No. 2
## Tl5Bi4Pb2 (GGA-PBE)

Data for crystalline Tl5Bi4Pb2 at its relaxed geometry.

POSCAR file:
```
Tl5Bi4Pb2
1.0
9.211 0.000 0.000
0.000 3.503 0.000
-1.800 0.000 11.447
Tl Bi Pb
5 4 2
Direct
0.000 0.000 0.000
0.001 0.000 0.350
0.397 0.000 0.109
0.603 0.000 0.891
0.999 0.000 0.650
0.256 0.500 0.849
0.317 0.500 0.348
0.683 0.500 0.652
0.744 0.500 0.151
0.357 0.000 0.608
0.643 0.000 0.392
```

Computed properties:
Crystal system ... monoclinic
Space-group type ... No. 10
E above lowest polymorph ... 0 meV per atom
Formation energy from the elements ... 0.03 eV/atom
Density of states at the Fermi level ... 4.055 states/eV/cell



No. 3
## LaY2Al3 (GGA-PBE)

Data for crystalline LaY2Al3 at its relaxed geometry.

POSCAR file:
```
LaY2Al3
1.0
3.655 0.000 0.000
0.000 3.655 0.000
0.000 0.000 11.118
La Y Al
1 2 3
Direct
0.000 0.000 0.000
0.000 0.000 0.340
0.000 0.000 0.660
0.500 0.500 0.184
0.500 0.500 0.500
0.500 0.500 0.816
```

Computed properties:
Crystal system ... tetragonal
Space-group type ... No. 123
Formation energy from the elements ... -0.40 eV/atom
Density of states at the Fermi level ... 3.129 states/eV/cell